# CaCo5Si3

A relaxed CaCo5Si3 crystal (GGA-PBE, Alexandria).

Its uncorrected formation energy is -439 meV/atom.

The space group is Cmcm (No. 63) and the conventional cell measures 3.725, 11.905 and 11.105 Å, with angles of 90.00, 90.00 and 90.00 degrees. The distinct sites, in fractional coordinates, are Ca at (0.000, 0.175, 0.250), Co at (0.000, 0.000, 0.000), Co at (0.000, 0.192, 0.562), Co at (0.000, 0.453, 0.144), Si at (0.000, 0.105, 0.750) and Si at (0.000, 0.378, 0.542).


# TlPdSCl2

A relaxed TlPdSCl2 crystal (GGA-PBE, Alexandria).

The offset from the most stable computed form comes out at 0.0000 eV/atom. Its uncorrected formation energy is -346 meV/atom.

The space group is P4/mmm (No. 123) and the conventional cell measures 5.103, 5.103 and 4.664 Å, with angles of 90.00, 90.00 and 90.00 degrees. The distinct sites, in fractional coordinates, are Tl at (0.000, 0.000, 0.000), Pd at (0.500, 0.500, 0.500), S at (0.500, 0.500, 0.000) and Cl at (0.000, 0.500, 0.500).


# PrHg3Pd3

A relaxed PrHg3Pd3 crystal (GGA-PBE, Alexandria).

The offset from the most stable computed form comes out at 0.5501 eV/atom. Its formation enthalpy at 0 K is 246.0 meV per atom.

The space group is Pm-3n (No. 223) and the conventional cell measures 7.362, 7.362 and 7.362 Å, with angles of 90.00, 90.00 and 90.00 degrees. The distinct sites, in fractional coordinates, are Pr at (0.000, 0.000, 0.000), Hg at (0.000, 0.250, 0.500) and Pd at (0.000, 0.500, 0.250).


# Ti3OsPt

A relaxed Ti3OsPt crystal (GGA-PBE, Alexandria).

The offset from the most stable computed form comes out at 0.0000 eV/atom. Its formation enthalpy at 0 K is 422.3 meV per atom.

The space group is Pm-3m (No. 221) and the conventional cell measures 4.667, 4.667 and 4.667 Å, with angles of 90.00, 90.00 and 90.00 degrees. The distinct sites, in fractional coordinates, are Ti at (0.000, 0.000, 0.500), Os at (0.000, 0.000, 0.000) and Pt at (0.500, 0.500, 0.500).


# VAg2AuN

A relaxed VAg2AuN crystal (GGA-PBE, Alexandria).

Its uncorrected formation energy is 1949 meV/atom.

The space group is P4/mmm (No. 123) and the conventional cell measures 5.146, 5.146 and 4.986 Å, with angles of 90.00, 90.00 and 90.00 degrees. The distinct sites, in fractional coordinates, are V at (0.000, 0.000, 0.000), Ag at (0.000, 0.500, 0.500), Au at (0.000, 0.000, 0.500) and N at (0.500, 0.500, 0.000).


# Ce3TmTh4P8

A relaxed Ce3TmTh4P8 crystal (GGA-PBE, Alexandria).

Its formation enthalpy at 0 K is -1544.7 meV per atom.

The space group is R-3m (No. 166, hexagonal axes) and the conventional cell measures 8.2106, 8.2106 and 20.0458 Å, with angles of 90.00, 90.00 and 120.00 degrees. The distinct sites, in fractional coordinates, are Ce at (0.0000, 0.5000, 0.0000), Tm at (0.0000, 0.0000, 0.0000), Th at (0.0000, 0.0000, 0.5000), Th at (0.0000, 0.5000, 0.5000), P at (0.0000, 0.0000, 0.2513) and P at (0.0032, 0.5016, 0.7479).


# ZrScPb2

A relaxed ZrScPb2 crystal (GGA-PBE, Alexandria).

The offset from the most stable computed form comes out at 0.0686 eV/atom. Its formation enthalpy at 0 K is -196.3 meV per atom.

The space group is Cm (No. 8) and the conventional cell measures 11.632, 3.325 and 5.270 Å, with angles of 90.00, 104.18 and 90.00 degrees. The distinct sites, in fractional coordinates, are Zr at (0.000, 0.000, 0.000), Sc at (0.242, 0.000, 0.557), Pb at (0.241, 0.500, 0.052) and Pb at (0.499, 0.000, 0.500).


# Sr2CdSn3Rh4

A relaxed Sr2CdSn3Rh4 crystal (GGA-PBE, Alexandria).

Its formation enthalpy at 0 K is -567.6 meV per atom.

The space group is P-4m2 (No. 115) and the conventional cell measures 4.537, 4.537 and 10.973 Å, with angles of 90.00, 90.00 and 90.00 degrees. The distinct sites, in fractional coordinates, are Sr at (0.000, 0.500, 0.247), Cd at (0.000, 0.000, 0.500), Sn at (0.000, 0.500, 0.875), Sn at (0.500, 0.500, 0.500), Rh at (0.000, 0.000, 0.000), Rh at (0.000, 0.500, 0.636) and Rh at (0.500, 0.500, 0.000).


no.,spin magnetization (μB per formula unit),ρ (g/cm3)
1,2.07,5.65
2,0.96,5.66
3,0.00,8.84
4,0.00,8.64
5,3.13,6.01
6,0.93,7.51
7,0.31,9.25
8,0.00,7.76